A plane-wave DFT calculation with SCAN was carried out for a PBEsol-optimized structure of Fe2PRu.

Properties
* spin magnetization: 0.6 μB/f.u.
* formation energy from the elements: -0.04 eV per atom
* DOS(E_F): 5.46 states/eV per cell
* uncorrected energy: -20.41 eV/atom

Cell and atoms, written as CIF:
```
data_Fe2PRu
_chemical_formula_sum 'Fe4 P2 Ru2'
_cell_length_a 3.491
_cell_length_b 2.622
_cell_length_c 9.781
_cell_angle_alpha 90.00
_cell_angle_beta 90.00
_cell_angle_gamma 90.00
_symmetry_space_group_name_H-M 'A m m 2'
_symmetry_Int_Tables_number 38
_symmetry_space_group_name_Hall 'A 2 -2'
loop_
_atom_site_label
_atom_site_type_symbol
_atom_site_fract_x
_atom_site_fract_y
_atom_site_fract_z
_atom_site_occupancy
Fe1 Fe 0.000 0.000 0.000 1
Fe2 Fe 0.500 0.000 0.355 1
P1 P 0.000 0.000 0.781 1
Ru1 Ru 0.500 0.000 0.619 1
```

***

A plane-wave DFT calculation with SCAN was carried out for a PBEsol-optimized structure of HPbClO.

Properties
* spin magnetization: 0.0 μB/f.u.
* DOS(E_F): 0.00 states/eV per cell
* uncorrected energy: -24.57 eV/atom

Cell and atoms, written as CIF:
```
data_HPbClO
_chemical_formula_sum 'H4 Pb4 Cl4 O4'
_cell_length_a 10.750
_cell_length_b 3.968
_cell_length_c 7.178
_cell_angle_alpha 90.00
_cell_angle_beta 116.65
_cell_angle_gamma 90.00
_symmetry_space_group_name_H-M 'C 1 2/m 1'
_symmetry_Int_Tables_number 12
_symmetry_space_group_name_Hall '-C 2y'
loop_
_atom_site_label
_atom_site_type_symbol
_atom_site_fract_x
_atom_site_fract_y
_atom_site_fract_z
_atom_site_occupancy
H1 H 0.119 0.000 0.120 1
Pb1 Pb 0.169 0.000 0.738 1
Cl1 Cl 0.071 0.500 0.315 1
O1 O 0.200 0.000 0.090 1
```

***

A plane-wave DFT calculation with SCAN was carried out for a PBEsol-optimized structure of CrSnH3.

Properties
* spin magnetization: 5.3 μB/f.u.
* energy relative to the lowest polymorph listed for this composition: 47.57 kJ per mole of atoms
* DOS(E_F): 1.26 states/eV per cell
* uncorrected energy: -12.14 eV/atom

Cell and atoms, written as CIF:
```
data_CrSnH3
_chemical_formula_sum 'Cr1 Sn1 H3'
_cell_length_a 3.985
_cell_length_b 3.985
_cell_length_c 3.985
_cell_angle_alpha 90.00
_cell_angle_beta 90.00
_cell_angle_gamma 90.00
_symmetry_space_group_name_H-M 'P m -3 m'
_symmetry_Int_Tables_number 221
_symmetry_space_group_name_Hall '-P 4 2 3'
loop_
_atom_site_label
_atom_site_type_symbol
_atom_site_fract_x
_atom_site_fract_y
_atom_site_fract_z
_atom_site_occupancy
Cr1 Cr 0.000 0.000 0.000 1
Sn1 Sn 0.500 0.500 0.500 1
H1 H 0.000 0.500 0.500 1
```

***

A plane-wave DFT calculation with SCAN was carried out for a PBEsol-optimized structure of Be2OsRu.

Properties
* spin magnetization: 0.0 μB/f.u.
* energy relative to the lowest polymorph listed for this composition: 1.65 kJ per mole of atoms
* formation energy from the elements: -0.29 eV per atom
* DOS(E_F): 3.73 states/eV per cell
* uncorrected energy: -29.15 eV/atom

Cell and atoms, written as CIF:
```
data_Be2OsRu
_chemical_formula_sum 'Be4 Os2 Ru2'
_cell_length_a 3.674
_cell_length_b 2.764
_cell_length_c 8.286
_cell_angle_alpha 90.00
_cell_angle_beta 90.00
_cell_angle_gamma 90.00
_symmetry_space_group_name_H-M 'A m m 2'
_symmetry_Int_Tables_number 38
_symmetry_space_group_name_Hall 'A 2 -2'
loop_
_atom_site_label
_atom_site_type_symbol
_atom_site_fract_x
_atom_site_fract_y
_atom_site_fract_z
_atom_site_occupancy
Be1 Be 0.000 0.000 0.000 1
Be2 Be 0.500 0.000 0.148 1
Os1 Os 0.500 0.000 0.423 1
Ru1 Ru 0.000 0.000 0.725 1
```

***

A plane-wave DFT calculation with SCAN was carried out for a PBEsol-optimized structure of Tl3GeI.

Properties
* spin magnetization: 2.0 μB/f.u.
* E_form (uncorrected): 685 meV per atom
* DOS(E_F): 2.15 states/eV per cell
* uncorrected energy: -53.90 eV/atom

Cell and atoms, written as CIF:
```
data_Tl3GeI
_chemical_formula_sum 'Tl3 Ge1 I1'
_cell_length_a 6.217
_cell_length_b 6.217
_cell_length_c 6.217
_cell_angle_alpha 90.00
_cell_angle_beta 90.00
_cell_angle_gamma 90.00
_symmetry_space_group_name_H-M 'P m -3 m'
_symmetry_Int_Tables_number 221
_symmetry_space_group_name_Hall '-P 4 2 3'
loop_
_atom_site_label
_atom_site_type_symbol
_atom_site_fract_x
_atom_site_fract_y
_atom_site_fract_z
_atom_site_occupancy
Tl1 Tl 0.000 0.000 0.500 1
Ge1 Ge 0.500 0.500 0.500 1
I1 I 0.000 0.000 0.000 1
```

***

A plane-wave DFT calculation with SCAN was carried out for a PBEsol-optimized structure of Fe3N.

Properties
* spin magnetization: 6.8 μB/f.u.
* E_form (uncorrected): -80 meV per atom
* DOS(E_F): 4.49 states/eV per cell
* uncorrected energy: -16.00 eV/atom

Cell and atoms, written as CIF:
```
data_Fe3N
_chemical_formula_sum 'Fe6 N2'
_cell_length_a 4.5631
_cell_length_b 4.5631
_cell_length_c 4.2573
_cell_angle_alpha 90.00
_cell_angle_beta 90.00
_cell_angle_gamma 120.00
_symmetry_space_group_name_H-M 'P 63 2 2'
_symmetry_Int_Tables_number 182
_symmetry_space_group_name_Hall 'P 6c 2c'
loop_
_atom_site_label
_atom_site_type_symbol
_atom_site_fract_x
_atom_site_fract_y
_atom_site_fract_z
_atom_site_occupancy
Fe1 Fe 0.0000 0.3260 0.0000 1
N1 N 0.3333 0.6667 0.7500 1
```